[1]
! PmPr5Nd2Y, optimized geometry, DFT PBE-GGA; values from VASP
! Size of the total moment, μB per atom: 0.0000
! Calculated total energy, eV/cell: -84.5
&SYSTEM
  ibrav = 0, nat = 18, ntyp = 4
/
ATOMIC_SPECIES
Pm 145.00 Pm.upf
Pr 140.91 Pr.upf
Nd 144.24 Nd.upf
Y 88.91 Y.upf
ATOMIC_POSITIONS crystal
Pm 0.250 0.250 0.000
Pm 0.750 0.750 0.000
Pr 0.000 0.000 0.000
Pr 0.073 0.573 0.927
Pr 0.146 0.073 0.500
Pr 0.354 0.854 0.927
Pr 0.427 0.354 0.500
Pr 0.500 0.500 0.000
Pr 0.573 0.646 0.500
Pr 0.646 0.146 0.073
Pr 0.854 0.927 0.500
Pr 0.927 0.427 0.073
Nd 0.118 0.382 0.500
Nd 0.382 0.882 0.264
Nd 0.618 0.118 0.736
Nd 0.882 0.618 0.500
Y 0.250 0.750 0.500
Y 0.750 0.250 0.500
CELL_PARAMETERS angstrom
-4.448 4.448 8.172
4.448 -4.448 8.172
4.448 4.448 -8.172



[2]
! Pm3PrNd6Y2, optimized geometry, DFT PBE-GGA; values from VASP
! Size of the total moment, μB per atom: 0.0000
! Calculated total energy, eV/cell: -60.4
&SYSTEM
  ibrav = 0, nat = 12, ntyp = 4
/
ATOMIC_SPECIES
Pm 145.00 Pm.upf
Pr 140.91 Pr.upf
Nd 144.24 Nd.upf
Y 88.91 Y.upf
ATOMIC_POSITIONS crystal
Pm 0.000 0.000 0.000
Pm 0.333 0.667 0.000
Pm 0.667 0.333 0.000
Pr 0.500 0.500 0.500
Nd 0.083 0.417 0.251
Nd 0.250 0.250 0.749
Nd 0.417 0.083 0.251
Nd 0.583 0.917 0.749
Nd 0.750 0.750 0.251
Nd 0.917 0.583 0.749
Y 0.167 0.833 0.500
Y 0.833 0.167 0.500
CELL_PARAMETERS angstrom
3.173 -5.494 0.000
3.173 5.494 0.000
-2.114 0.000 11.931